1.
# ReTe2Pt

A relaxed structure of ReTe2Pt (PBEsol, Alexandria).

Its uncorrected formation energy is 0.300 eV/atom. Its energy above the most stable polymorph in this dataset is 0 meV/atom.

abc: 3.117 3.117 8.597
angles: 90.00 90.00 90.00
Element x y z (fractional)
Re 0.000 0.000 0.000
Te 0.000 0.000 0.580
Te 0.500 0.500 0.188
Pt 0.500 0.500 0.800

2.
# Re2TePt

A relaxed structure of Re2TePt (PBEsol, Alexandria).

Its uncorrected formation energy is 0.598 eV/atom.

abc: 4.042 4.042 7.843
angles: 90.00 90.00 90.00
Element x y z (fractional)
Re 0.000 0.000 0.000
Re 0.000 0.500 0.250
Re 0.500 0.000 0.750
Re 0.500 0.500 0.500
Te 0.000 0.000 0.500
Te 0.500 0.500 0.000
Pt 0.000 0.500 0.750
Pt 0.500 0.000 0.250

3.
# Re2TePt

A relaxed structure of Re2TePt (PBEsol, Alexandria).

Its uncorrected formation energy is 0.741 eV/atom.

abc: 2.921 4.682 4.829
angles: 90.00 90.00 90.00
Element x y z (fractional)
Re 0.000 0.000 0.000
Re 0.500 0.500 0.000
Te 0.000 0.500 0.500
Pt 0.500 0.000 0.500

4.
# Re2TePt

A relaxed structure of Re2TePt (PBEsol, Alexandria).

Its uncorrected formation energy is 0.350 eV/atom.

abc: 2.931 2.931 7.834
angles: 90.00 90.00 90.00
Element x y z (fractional)
Re 0.000 0.000 0.000
Re 0.500 0.500 0.211
Te 0.000 0.000 0.461
Pt 0.500 0.500 0.763

5.
# ReTePt2

A relaxed structure of ReTePt2 (PBEsol, Alexandria).

Its uncorrected formation energy is 0.339 eV/atom.

abc: 3.337 3.337 5.960
angles: 90.00 90.00 90.00
Element x y z (fractional)
Re 0.000 0.000 0.000
Te 0.500 0.500 0.272
Pt 0.000 0.000 0.544
Pt 0.500 0.500 0.777

6.
# Re2TePt

A relaxed structure of Re2TePt (PBEsol, Alexandria).

Its uncorrected formation energy is 0.502 eV/atom.

abc: 9.308 2.983 4.746
angles: 90.00 97.21 90.00
Element x y z (fractional)
Re 0.000 0.000 0.000
Re 0.230 0.500 0.210
Re 0.500 0.500 0.000
Re 0.730 0.000 0.210
Te 0.239 0.000 0.723
Te 0.739 0.500 0.723
Pt 0.470 0.000 0.453
Pt 0.970 0.500 0.453

| no. | final energy (eV per atom) | total magnetic moment (μB/atom) |
| --- | --- | --- |
| 1 | -6.54 | 0.0001 |
| 2 | -8.69 | 0.0000 |
| 3 | -8.55 | 0.0002 |
| 4 | -8.94 | 0.0001 |
| 5 | -7.36 | 0.0001 |
| 6 | -8.79 | 0.0000 |